[1]
A plane-wave DFT calculation with PBE was carried out for an optimized crystal structure of Sb3TeS.

abc: 5.2658 5.2658 5.2658
angles: 90.00 90.00 90.00
Last column: nearest neighbours and their distance in Å.
Sites, in units of the cell vectors:
Sb 0.0000 0.5000 0.0000  2 S 2.63
Sb 0.5000 0.0000 0.0000  2 S 2.63
Sb 0.0000 0.0000 0.5000  2 S 2.63
S 0.0000 0.0000 0.0000  6 Sb 2.63
Te 0.5000 0.5000 0.5000  12 Sb 3.72

Computed properties:
- Formation energy (no corrections): 257 kJ/mol of formula units
- Magnetization: 0.00 μB per formula unit
- DFT total energy: -3.39 eV per atom
- Symmetry: Pm-3m, No. 221
- Energy above the lowest structure with this stoichiometry: 0 meV per atom


[2]
A plane-wave DFT calculation with PBE was carried out for an optimized crystal structure of Sb3Te2S8.

abc: 6.9105 9.0496 9.0496
angles: 52.27 59.70 59.70
Last column: nearest neighbours and their distance in Å.
Sites, in units of the cell vectors:
Te 0.5423 0.7465 0.7465  3 S 2.37-2.63
Te 0.4577 0.2535 0.2535  3 S 2.37-2.63
S 0.4895 0.6458 0.1032  1 Te 2.63, 2 Sb 2.77-2.80
S 0.4895 0.1032 0.6458  1 Te 2.63, 2 Sb 2.77-2.80
S 0.5105 0.3542 0.8968  1 Te 2.63, 2 Sb 2.77-2.80
S 0.0174 0.1074 0.1074  3 Sb 2.62-2.76
S 0.0438 0.3569 0.3569  1 Te 2.37
S 0.9562 0.6431 0.6431  1 Te 2.37
S 0.5105 0.8968 0.3542  1 Te 2.63, 2 Sb 2.77-2.80
S 0.9826 0.8926 0.8926  3 Sb 2.62-2.76
Sb 0.0000 0.7623 0.2377  4 S 2.62-2.80
Sb 0.0000 0.2377 0.7623  4 S 2.62-2.80
Sb 0.5000 0.0000 0.0000  6 S 2.76-2.77

Computed properties:
- Formation energy (no corrections): -67 kJ/mol of formula units
- Magnetization: 0.00 μB per formula unit
- DFT total energy: -4.03 eV per atom
- Symmetry: C2/m, No. 12


[3]
A plane-wave DFT calculation with PBE was carried out for an optimized crystal structure of SbTeS4.

abc: 3.7769 7.7200 6.5893
angles: 115.05 90.00 104.16
Last column: nearest neighbours and their distance in Å.
Sites, in units of the cell vectors:
Te 0.5000 0.0000 0.5000  6 S 2.68-2.69
S 0.6143 0.2286 0.9481  2 Sb 2.67, 1 Te 2.69
S 0.8851 0.7702 0.5550  1 Sb 2.67, 2 Te 2.68
S 0.3857 0.7714 0.0519  2 Sb 2.67, 1 Te 2.69
S 0.1149 0.2298 0.4450  1 Sb 2.67, 2 Te 2.68
Sb 0.0000 0.0000 0.0000  6 S 2.67

Computed properties:
- Formation energy (no corrections): 6 kJ/mol of formula units
- Magnetization: 0.00 μB per formula unit
- DFT total energy: -3.95 eV per atom
- Symmetry: C2/m, No. 12


Please write out number 3 again, unchanged.
A plane-wave DFT calculation with PBE was carried out for an optimized crystal structure of SbTeS4.

abc: 3.7769 7.7200 6.5893
angles: 115.05 90.00 104.16
Last column: nearest neighbours and their distance in Å.
Sites, in units of the cell vectors:
Te 0.5000 0.0000 0.5000  6 S 2.68-2.69
S 0.6143 0.2286 0.9481  2 Sb 2.67, 1 Te 2.69
S 0.8851 0.7702 0.5550  1 Sb 2.67, 2 Te 2.68
S 0.3857 0.7714 0.0519  2 Sb 2.67, 1 Te 2.69
S 0.1149 0.2298 0.4450  1 Sb 2.67, 2 Te 2.68
Sb 0.0000 0.0000 0.0000  6 S 2.67

Computed properties:
- Formation energy (no corrections): 6 kJ/mol of formula units
- Magnetization: 0.00 μB per formula unit
- DFT total energy: -3.95 eV per atom
- Symmetry: C2/m, No. 12


The lowest formation energy (no corrections) belongs to which entry?
Sb3Te2S8


magnetization of number 3 (SbTeS4)?
0.00 μB per formula unit


DFT total energy of number 1 (Sb3TeS)?
-3.39 eV per atom